Entry w
Ca2GaReBr | PBE-GGA | optimized geometry

The structure belongs to space group P4/mmm (No. 123); the cell edges are 5.459, 5.459 and 4.590 Å and the angles 90.00°, 90.00° and 90.00°. The inequivalent atoms are Ca at (0.000, 0.500, 0.000), Ga at (0.000, 0.000, 0.500), Re at (0.500, 0.500, 0.500) and Br at (0.500, 0.500, 0.000).


Entry x
Ca2GaReBr | PBE-GGA | optimized geometry

The structure belongs to space group P4/mmm (No. 123); the cell edges are 5.708, 5.708 and 5.359 Å and the angles 90.00°, 90.00° and 90.00°. The inequivalent atoms are Ca at (0.000, 0.500, 0.000), Ga at (0.000, 0.000, 0.000), Re at (0.500, 0.500, 0.500) and Br at (0.000, 0.000, 0.500).


Q: Which of them is the least stable? A: entry x.